BeCCl3: optimized geometry, PBE-GGA.

E	-2.491	eV/atom
energy relative to the elements, uncorrected	116.46	kJ per mole of atoms

Cell lengths 4.381, 4.381, 4.381 Å; angles 90.00, 90.00, 90.00 degrees
Element x y z (fractional)
Be 0.000 0.000 0.000
C 0.500 0.500 0.500
Cl 0.000 0.500 0.500
Cl 0.500 0.000 0.500
Cl 0.500 0.500 0.000

Be3CCl: optimized geometry, PBE-GGA.

E	-2.278	eV/atom
excess energy over the best structure of this formula in the dataset	1.893	eV/atom
energy relative to the elements, uncorrected	209.53	kJ per mole of atoms

Cell lengths 3.937, 3.937, 3.937 Å; angles 90.00, 90.00, 90.00 degrees
Element x y z (fractional)
Be 0.000 0.000 0.500
Be 0.000 0.500 0.000
Be 0.500 0.000 0.000
C 0.500 0.500 0.500
Cl 0.000 0.000 0.000

BeC3Cl: optimized geometry, PBE-GGA.

E	-3.058	eV/atom
excess energy over the best structure of this formula in the dataset	0.761	eV/atom
energy relative to the elements, uncorrected	346.45	kJ per mole of atoms

Cell lengths 3.644, 3.644, 3.644 Å; angles 90.00, 90.00, 90.00 degrees
Element x y z (fractional)
Be 0.000 0.000 0.000
C 0.000 0.500 0.500
C 0.500 0.000 0.500
C 0.500 0.500 0.000
Cl 0.500 0.500 0.500

BeC2Cl: optimized geometry, PBE-GGA.

E	-3.029	eV/atom
excess energy over the best structure of this formula in the dataset	1.121	eV/atom
energy relative to the elements, uncorrected	287.13	kJ per mole of atoms

Cell lengths 3.872, 3.872, 3.872 Å; angles 60.00, 60.00, 60.00 degrees
Element x y z (fractional)
Be 0.000 0.000 0.000
C 0.250 0.250 0.250
C 0.750 0.750 0.750
Cl 0.500 0.500 0.500

BeCCl2: optimized geometry, PBE-GGA.

E	-2.441	eV/atom
excess energy over the best structure of this formula in the dataset	0.778	eV/atom
energy relative to the elements, uncorrected	165.91	kJ per mole of atoms

Cell lengths 4.297, 4.297, 4.297 Å; angles 60.00, 60.00, 60.00 degrees
Element x y z (fractional)
Be 0.000 0.000 0.000
C 0.500 0.500 0.500
Cl 0.250 0.250 0.250
Cl 0.750 0.750 0.750

BeCCl2: optimized geometry, PBE-GGA.

E	-3.025	eV/atom
excess energy over the best structure of this formula in the dataset	0.194	eV/atom
energy relative to the elements, uncorrected	109.63	kJ per mole of atoms

Cell lengths 10.622, 10.622, 10.622 Å; angles 21.15, 21.15, 21.15 degrees
Element x y z (fractional)
Be 0.000 0.000 0.000
C 0.500 0.500 0.500
Cl 0.057 0.057 0.057
Cl 0.943 0.943 0.943

BeCCl2: optimized geometry, PBE-GGA.

E	-3.219	eV/atom
excess energy over the best structure of this formula in the dataset	0.000	eV/atom
energy relative to the elements, uncorrected	90.86	kJ per mole of atoms

Cell lengths 6.164, 6.164, 6.164 Å; angles 119.74, 119.74, 90.45 degrees
Element x y z (fractional)
Be 0.000 0.000 0.000
Be 0.750 0.250 0.500
C 0.250 0.750 0.500
C 0.500 0.500 0.000
Cl 0.003 0.625 0.878
Cl 0.375 0.253 0.378
Cl 0.747 0.125 0.122
Cl 0.875 0.997 0.622

Be2CCl: optimized geometry, PBE-GGA.

E	-4.495	eV/atom
excess energy over the best structure of this formula in the dataset	0.000	eV/atom
energy relative to the elements, uncorrected	13.13	kJ per mole of atoms

Cell lengths 5.557, 5.557, 5.557 Å; angles 131.62, 131.62, 70.84 degrees
Element x y z (fractional)
Be 0.033 0.625 0.908
Be 0.375 0.283 0.408
Be 0.717 0.125 0.092
Be 0.875 0.967 0.592
C 0.000 0.000 0.000
C 0.750 0.250 0.500
Cl 0.250 0.750 0.500
Cl 0.500 0.500 0.000

Be2C2Cl: optimized geometry, PBE-GGA.

E	-4.775	eV/atom
excess energy over the best structure of this formula in the dataset	0.000	eV/atom
energy relative to the elements, uncorrected	74.67	kJ per mole of atoms

Cell lengths 6.008, 6.008, 3.023 Å; angles 90.00, 90.00, 90.00 degrees
Element x y z (fractional)
Be 0.126 0.374 0.000
Be 0.374 0.874 0.000
Be 0.626 0.126 0.000
Be 0.874 0.626 0.000
C 0.080 0.580 0.500
C 0.420 0.080 0.500
C 0.580 0.920 0.500
C 0.920 0.420 0.500
Cl 0.000 0.000 0.000
Cl 0.500 0.500 0.000

BeC2Cl: optimized geometry, PBE-GGA.

E	-4.150	eV/atom
excess energy over the best structure of this formula in the dataset	0.000	eV/atom
energy relative to the elements, uncorrected	179.02	kJ per mole of atoms

Cell lengths 5.571, 5.571, 5.571 Å; angles 132.03, 132.03, 70.19 degrees
Element x y z (fractional)
Be 0.000 0.000 0.000
Be 0.750 0.250 0.500
C 0.030 0.625 0.905
C 0.375 0.280 0.405
C 0.720 0.125 0.095
C 0.875 0.970 0.595
Cl 0.250 0.750 0.500
Cl 0.500 0.500 0.000

Be2CCl: optimized geometry, PBE-GGA.

E	-3.090	eV/atom
excess energy over the best structure of this formula in the dataset	1.405	eV/atom
energy relative to the elements, uncorrected	148.65	kJ per mole of atoms

Cell lengths 3.868, 3.868, 3.868 Å; angles 60.00, 60.00, 60.00 degrees
Element x y z (fractional)
Be 0.250 0.250 0.250
Be 0.750 0.750 0.750
C 0.000 0.000 0.000
Cl 0.500 0.500 0.500

BeC3Cl: optimized geometry, PBE-GGA.

E	-3.819	eV/atom
excess energy over the best structure of this formula in the dataset	0.000	eV/atom
energy relative to the elements, uncorrected	273.02	kJ per mole of atoms

Cell lengths 3.738, 3.738, 3.738 Å; angles 90.00, 90.00, 90.00 degrees
Element x y z (fractional)
Be 0.000 0.000 0.000
C 0.000 0.000 0.500
C 0.000 0.500 0.000
C 0.500 0.000 0.000
Cl 0.500 0.500 0.500

BeCCl2: optimized geometry, PBE-GGA.

E	-3.167	eV/atom
excess energy over the best structure of this formula in the dataset	0.052	eV/atom
energy relative to the elements, uncorrected	95.91	kJ per mole of atoms

Cell lengths 7.522, 7.522, 7.522 Å; angles 24.20, 24.20, 24.20 degrees
Element x y z (fractional)
Be 0.000 0.000 0.000
C 0.500 0.500 0.500
Cl 0.392 0.392 0.392
Cl 0.608 0.608 0.608

Be3CCl: optimized geometry, PBE-GGA.

E	-4.171	eV/atom
excess energy over the best structure of this formula in the dataset	0.000	eV/atom
energy relative to the elements, uncorrected	26.91	kJ per mole of atoms

Cell lengths 3.677, 3.677, 3.677 Å; angles 90.00, 90.00, 90.00 degrees
Element x y z (fractional)
Be 0.000 0.000 0.500
Be 0.000 0.500 0.000
Be 0.500 0.000 0.000
C 0.000 0.000 0.000
Cl 0.500 0.500 0.500

Be2C2Cl: optimized geometry, PBE-GGA.

E	-4.700	eV/atom
excess energy over the best structure of this formula in the dataset	0.076	eV/atom
energy relative to the elements, uncorrected	81.99	kJ per mole of atoms

Cell lengths 6.248, 6.248, 6.248 Å; angles 153.73, 153.73, 37.49 degrees
Element x y z (fractional)
Be 0.151 0.151 0.000
Be 0.849 0.849 0.000
C 0.250 0.750 0.500
C 0.750 0.250 0.500
Cl 0.500 0.500 0.000

Cs2BeCCl6: optimized geometry, PBE-GGA.

E	-3.191	eV/atom
energy relative to the elements, uncorrected	-59.57	kJ per mole of atoms

Cell lengths 7.288, 7.288, 7.288 Å; angles 123.37, 123.37, 84.26 degrees
Element x y z (fractional)
Cs 0.250 0.750 0.500
Cs 0.750 0.250 0.500
Be 0.000 0.000 0.000
C 0.500 0.500 0.000
Cl 0.222 0.222 0.445
Cl 0.222 0.778 0.000
Cl 0.297 0.297 0.000
Cl 0.703 0.703 0.000
Cl 0.778 0.222 0.000
Cl 0.778 0.778 0.555

BeH12C4NCl3: optimized geometry, PBE-GGA.

E	-5.006	eV/atom

Cell lengths 8.240, 8.254, 16.950 Å; angles 93.84, 99.34, 97.01 degrees
Element x y z (fractional)
Be 0.000 0.000 0.000
Be 0.022 0.262 0.899
Be 0.462 0.762 0.498
Be 0.500 0.540 0.371
H 0.035 0.670 0.640
H 0.069 0.389 0.472
H 0.090 0.585 0.507
H 0.095 0.773 0.324
H 0.116 0.228 0.374
H 0.146 0.342 0.686
H 0.167 0.041 0.414
H 0.190 0.267 0.592
H 0.204 0.955 0.736
H 0.206 0.004 0.198
H 0.256 0.476 0.629
H 0.263 0.169 0.266
H 0.303 0.981 0.291
H 0.319 0.683 0.779
H 0.331 0.963 0.661
H 0.332 0.534 0.052
H 0.338 0.925 0.884
H 0.347 0.132 0.735
H 0.400 0.240 0.031
H 0.430 0.545 0.154
H 0.444 0.699 0.703
H 0.463 0.112 0.877
H 0.485 0.465 0.948
H 0.495 0.696 0.091
H 0.503 0.250 0.132
H 0.537 0.686 0.804
H 0.558 0.938 0.909
H 0.611 0.200 0.053
H 0.632 0.957 0.701
H 0.648 0.613 0.983
H 0.657 0.114 0.775
H 0.681 0.421 0.962
H 0.721 0.939 0.796
H 0.735 0.301 0.540
H 0.736 0.490 0.187
H 0.794 0.637 0.122
H 0.807 0.081 0.253
H 0.822 0.599 0.601
H 0.835 0.229 0.629
H 0.841 0.433 0.108
H 0.883 0.801 0.303
H 0.889 0.167 0.536
H 0.901 0.483 0.465
H 0.905 0.037 0.169
H 0.920 0.527 0.691
H 0.957 0.076 0.395
H 0.966 0.227 0.231
H 0.994 0.772 0.223
C 0.004 0.829 0.284
C 0.051 0.014 0.287
C 0.076 0.095 0.373
C 0.156 0.373 0.625
C 0.328 0.998 0.724
C 0.439 0.737 0.765
C 0.452 0.565 0.093
C 0.456 0.978 0.868
C 0.458 0.923 0.780
C 0.520 0.276 0.071
C 0.580 0.459 0.071
C 0.749 0.508 0.125
C 0.854 0.271 0.571
C 0.926 0.095 0.231
C 0.938 0.563 0.631
C 0.989 0.418 0.584
N 0.013 0.473 0.502
N 0.218 0.044 0.258
N 0.600 0.491 0.985
N 0.627 0.988 0.761
Cl 0.005 0.001 0.876
Cl 0.020 0.255 0.022
Cl 0.189 0.917 0.065
Cl 0.226 0.376 0.871
Cl 0.240 0.816 0.513
Cl 0.308 0.438 0.288
Cl 0.456 0.505 0.487
Cl 0.505 0.798 0.380
Cl 0.650 0.871 0.579
Cl 0.715 0.473 0.355
Cl 0.784 0.884 0.018
Cl 0.812 0.340 0.846

Li2BeCCl: optimized geometry, PBE-GGA.

E	-2.392	eV/atom
energy relative to the elements, uncorrected	128.63	kJ per mole of atoms

Cell lengths 4.958, 4.958, 4.024 Å; angles 90.00, 90.00, 90.00 degrees
Element x y z (fractional)
Li 0.000 0.500 0.000
Li 0.500 0.000 0.000
Be 0.000 0.000 0.000
C 0.500 0.500 0.500
Cl 0.000 0.000 0.500

BeMoC2Cl: optimized geometry, PBE-GGA.

E	-4.411	eV/atom
energy relative to the elements, uncorrected	246.97	kJ per mole of atoms

Cell lengths 4.014, 4.014, 3.494 Å; angles 90.00, 90.00, 90.00 degrees
Element x y z (fractional)
Be 0.000 0.000 0.000
Mo 0.500 0.500 0.000
C 0.000 0.500 0.500
C 0.500 0.000 0.500
Cl 0.000 0.000 0.500

Rb2BeCCl6: optimized geometry, PBE-GGA.

E	-3.211	eV/atom
energy relative to the elements, uncorrected	-59.33	kJ per mole of atoms

Cell lengths 6.961, 6.961, 6.961 Å; angles 122.77, 122.77, 85.26 degrees
Element x y z (fractional)
Rb 0.250 0.750 0.500
Rb 0.750 0.250 0.500
Be 0.000 0.000 0.000
C 0.500 0.500 0.000
Cl 0.234 0.234 0.467
Cl 0.234 0.766 0.000
Cl 0.277 0.277 0.000
Cl 0.723 0.723 0.000
Cl 0.766 0.234 0.000
Cl 0.766 0.766 0.533

Be2RhCCl: optimized geometry, PBE-GGA.

E	-3.200	eV/atom
energy relative to the elements, uncorrected	190.54	kJ per mole of atoms

Cell lengths 3.870, 3.870, 4.444 Å; angles 90.00, 90.00, 90.00 degrees
Element x y z (fractional)
Be 0.000 0.500 0.000
Be 0.500 0.000 0.000
Rh 0.000 0.000 0.500
C 0.500 0.500 0.500
Cl 0.000 0.000 0.000

BeCSCl2: optimized geometry, PBE-GGA.

E	-2.927	eV/atom
excess energy over the best structure of this formula in the dataset	0.000	eV/atom
energy relative to the elements, uncorrected	118.44	kJ per mole of atoms

Cell lengths 4.197, 4.197, 4.824 Å; angles 90.00, 90.00, 90.00 degrees
Element x y z (fractional)
Be 0.000 0.000 0.000
C 0.500 0.500 0.500
S 0.000 0.000 0.500
Cl 0.000 0.500 0.000
Cl 0.500 0.000 0.000

BeCSCl2: optimized geometry, PBE-GGA.

E	-2.861	eV/atom
excess energy over the best structure of this formula in the dataset	0.065	eV/atom
energy relative to the elements, uncorrected	124.75	kJ per mole of atoms

Cell lengths 4.331, 4.331, 4.145 Å; angles 90.00, 90.00, 90.00 degrees
Element x y z (fractional)
Be 0.000 0.000 0.000
C 0.500 0.500 0.500
S 0.500 0.500 0.000
Cl 0.000 0.500 0.500
Cl 0.500 0.000 0.500